(1)
AcThIrAu | PBE | relaxed

Cell: 7.4481 7.4481 7.4481 Å, 90.00 90.00 90.00°
Last column: nearest neighbours and their distance in Å.
Space group F-43m (No. 216)
Inequivalent atoms, fractional coordinates:
Ac1 0.0000 0.0000 0.0000  4 Ir 3.23, 4 Au 3.23
Th1 0.0000 0.0000 0.5000  4 Ir 3.23, 4 Au 3.23
Ir1 0.2500 0.2500 0.7500  4 Ac 3.23, 4 Th 3.23
Au1 0.2500 0.2500 0.2500  4 Ac 3.23, 4 Th 3.23

## Properties
energy relative to the elements	-220	kJ/mol of formula units
ΔE to the lowest computed polymorph	0.91	eV per formula unit
M_tot	0.0	μB/f.u.

---

(2)
POs2AuN | PBE | relaxed

Cell: 4.3673 4.3673 4.5913 Å, 90.00 90.00 90.00°
Last column: nearest neighbours and their distance in Å.
Space group P4/mmm (No. 123)
Inequivalent atoms, fractional coordinates:
P1 0.0000 0.0000 0.0000  4 Os 2.18, 2 Au 2.30
Os1 0.0000 0.5000 0.0000  2 P 2.18
Au1 0.0000 0.0000 0.5000  2 P 2.30
N1 0.5000 0.5000 0.5000  4 Au 3.09, 8 Os 3.17

## Properties
ΔE to the lowest computed polymorph	4.17	eV per formula unit
uncorrected formation energy	2.149	eV/atom
M_tot	1.0	μB/f.u.

---

no.,density of states at the Fermi level (states/eV per cell)
1,15.4
2,5.2